Computed, not measured: crystalline MgPa2AsN5 at its relaxed geometry at the PBE level of DFT.

abc: 3.4235 7.0004 9.6989
angles: 90.00 90.00 104.15
With the nearest neighbours (Å) after each atom.
Positions (direct):
Mg1 0.7916 0.5831 0.5102  4 N 2.06-2.25
Mg2 0.2084 0.4169 0.0102  4 N 2.06-2.25
Pa1 0.8569 0.7139 0.8108  7 N 2.33-2.54
Pa2 0.1202 0.2405 0.6762  3 N 2.28-2.40
Pa3 0.1431 0.2861 0.3108  7 N 2.33-2.54
Pa4 0.8798 0.7595 0.1762  3 N 2.28-2.40
As1 0.5511 0.1023 0.9538  4 N 1.85-1.95
As2 0.4489 0.8977 0.4538  4 N 1.85-1.95
N1 0.3599 0.7198 0.0046  1 Mg 2.06
N2 0.6801 0.3601 0.8649  1 As 1.95
N3 0.4934 0.9867 0.7807  1 As 1.85
N4 0.2880 0.5760 0.6786  3 Pa 2.28-2.33, 2 Mg 2.37
N5 0.9529 0.9058 0.5443  2 As 1.92
N6 0.6401 0.2802 0.5046  1 Mg 2.06
N7 0.3199 0.6399 0.3649  1 As 1.95
N8 0.5066 0.0133 0.2807  1 As 1.85
N9 0.7120 0.4240 0.1786  3 Pa 2.28-2.33, 2 Mg 2.37
N10 0.0471 0.0942 0.0443  2 As 1.92

Computed properties:
The total magnetization is 0.0 Bohr magnetons per cell. As for the space group: Cmc2_1, No. 36. The uncorrected formation energy is -7.28 eV per formula unit.